[1]
# BaCo2W

An optimized crystal structure of BaCo2W (PBE-GGA, Alexandria via LeMat-Bulk).

SG	Imm2 (44)
final energy	-52.6	eV/cell
distance to the lowest polymorph of the same formula	255.6	meV per atom
energy of formation from the pure elements	0.6929	eV per atom

Cell: 3.5314 3.5613 13.3660 Å, 90.00 90.00 90.00°
Fractional coordinates of all 8 atoms:
Ba1 0.0000 0.0000 0.0000
Ba2 0.5000 0.5000 0.5000
Co1 0.0000 0.0000 0.6481
Co2 0.0000 0.5000 0.7652
Co3 0.5000 0.0000 0.2652
Co4 0.5000 0.5000 0.1481
W1 0.0000 0.5000 0.2633
W2 0.5000 0.0000 0.7633


[2]
# BaCo2W

An optimized crystal structure of BaCo2W (PBE-GGA, Alexandria via LeMat-Bulk).

SG	Fm-3m (225)
final energy	-95.5	eV/cell
distance to the lowest polymorph of the same formula	867.5	meV per atom
energy of formation from the pure elements	1.3048	eV per atom

Cell: 6.5694 6.5694 6.5694 Å, 90.00 90.00 90.00°
Fractional coordinates of all 16 atoms:
Ba1 0.0000 0.0000 0.0000
Ba2 0.0000 0.5000 0.5000
Ba3 0.5000 0.0000 0.5000
Ba4 0.5000 0.5000 0.0000
Co1 0.2500 0.2500 0.2500
Co2 0.2500 0.2500 0.7500
Co3 0.2500 0.7500 0.2500
Co4 0.2500 0.7500 0.7500
Co5 0.7500 0.2500 0.2500
Co6 0.7500 0.2500 0.7500
Co7 0.7500 0.7500 0.2500
Co8 0.7500 0.7500 0.7500
W1 0.0000 0.0000 0.5000
W2 0.0000 0.5000 0.0000
W3 0.5000 0.0000 0.0000
W4 0.5000 0.5000 0.5000


[3]
# BaCoW2

An optimized crystal structure of BaCoW2 (PBE-GGA, Alexandria via LeMat-Bulk).

SG	Fm-3m (225)
final energy	-112.6	eV/cell
distance to the lowest polymorph of the same formula	950.4	meV per atom
energy of formation from the pure elements	1.6959	eV per atom

Cell: 6.5587 6.5587 6.5587 Å, 90.00 90.00 90.00°
Fractional coordinates of all 16 atoms:
Ba1 0.0000 0.0000 0.0000
Ba2 0.0000 0.5000 0.5000
Ba3 0.5000 0.0000 0.5000
Ba4 0.5000 0.5000 0.0000
Co1 0.0000 0.0000 0.5000
Co2 0.0000 0.5000 0.0000
Co3 0.5000 0.0000 0.0000
Co4 0.5000 0.5000 0.5000
W1 0.2500 0.2500 0.2500
W2 0.2500 0.2500 0.7500
W3 0.2500 0.7500 0.2500
W4 0.2500 0.7500 0.7500
W5 0.7500 0.2500 0.2500
W6 0.7500 0.2500 0.7500
W7 0.7500 0.7500 0.2500
W8 0.7500 0.7500 0.7500


[4]
# Ba2CoW

An optimized crystal structure of Ba2CoW (PBE-GGA, Alexandria via LeMat-Bulk).

SG	C2/m (12)
final energy	-35.1	eV/cell
distance to the lowest polymorph of the same formula	1103.9	meV per atom
energy of formation from the pure elements	1.5855	eV per atom

Cell: 10.0440 3.0990 6.9513 Å, 90.00 93.12 90.00°
Fractional coordinates of all 8 atoms:
Ba1 0.2500 0.0000 0.2424
Ba2 0.2500 0.5000 0.7576
Ba3 0.7500 0.0000 0.7576
Ba4 0.7500 0.5000 0.2424
Co1 0.0000 0.5000 0.0000
Co2 0.5000 0.0000 0.0000
W1 0.0000 0.0000 0.5000
W2 0.5000 0.5000 0.5000


[5]
# BaCoW

An optimized crystal structure of BaCoW (PBE-GGA, Alexandria via LeMat-Bulk).

SG	I4mm (107)
final energy	-39.4	eV/cell
distance to the lowest polymorph of the same formula	0.0	meV per atom
energy of formation from the pure elements	0.7559	eV per atom

Cell: 3.2688 3.2688 12.5598 Å, 90.00 90.00 90.00°
Fractional coordinates of all 6 atoms:
Ba1 0.0000 0.0000 0.0000
Ba2 0.5000 0.5000 0.5000
Co1 0.0000 0.0000 0.2886
Co2 0.5000 0.5000 0.7886
W1 0.0000 0.0000 0.7254
W2 0.5000 0.5000 0.2254


[6]
# BaCoW2

An optimized crystal structure of BaCoW2 (PBE-GGA, Alexandria via LeMat-Bulk).

SG	I4/mmm (139)
final energy	-57.3	eV/cell
distance to the lowest polymorph of the same formula	819.6	meV per atom
energy of formation from the pure elements	1.5651	eV per atom

Cell: 3.8574 3.8574 10.7534 Å, 90.00 90.00 90.00°
Fractional coordinates of all 8 atoms:
Ba1 0.0000 0.0000 0.0000
Ba2 0.5000 0.5000 0.5000
Co1 0.0000 0.0000 0.5000
Co2 0.5000 0.5000 0.0000
W1 0.0000 0.5000 0.2500
W2 0.0000 0.5000 0.7500
W3 0.5000 0.0000 0.2500
W4 0.5000 0.0000 0.7500


[7]
# Ba2CoW

An optimized crystal structure of Ba2CoW (PBE-GGA, Alexandria via LeMat-Bulk).

SG	R-3m (166)
final energy	-53.2	eV/cell
distance to the lowest polymorph of the same formula	1061.2	meV per atom
energy of formation from the pure elements	1.5427	eV per atom

Cell: 3.3876 3.3876 31.0745 Å, 90.00 90.00 120.00°
Fractional coordinates of all 12 atoms:
Ba1 0.0000 0.0000 0.2437
Ba2 0.0000 0.0000 0.7563
Ba3 0.3333 0.6667 0.4230
Ba4 0.3333 0.6667 0.9103
Ba5 0.6667 0.3333 0.0897
Ba6 0.6667 0.3333 0.5770
Co1 0.0000 0.0000 0.5000
Co2 0.3333 0.6667 0.1667
Co3 0.6667 0.3333 0.8333
W1 0.0000 0.0000 0.0000
W2 0.3333 0.6667 0.6667
W3 0.6667 0.3333 0.3333


[8]
# BaCoW2

An optimized crystal structure of BaCoW2 (PBE-GGA, Alexandria via LeMat-Bulk).

SG	R3m (160)
final energy	-95.9	eV/cell
distance to the lowest polymorph of the same formula	0.0	meV per atom
energy of formation from the pure elements	0.7456	eV per atom

Cell: 4.2331 4.2331 18.7101 Å, 90.00 90.00 120.00°
Fractional coordinates of all 12 atoms:
Ba1 0.0000 0.0000 0.0000
Ba2 0.3333 0.6667 0.6667
Ba3 0.6667 0.3333 0.3333
Co1 0.0000 0.0000 0.1882
Co2 0.3333 0.6667 0.8549
Co3 0.6667 0.3333 0.5215
W1 0.0000 0.0000 0.5221
W2 0.0000 0.0000 0.8032
W3 0.3333 0.6667 0.1888
W4 0.3333 0.6667 0.4698
W5 0.6667 0.3333 0.1365
W6 0.6667 0.3333 0.8555


[9]
# BaCoW2

An optimized crystal structure of BaCoW2 (PBE-GGA, Alexandria via LeMat-Bulk).

SG	Pm (6)
final energy	-31.9	eV/cell
distance to the lowest polymorph of the same formula	4.6	meV per atom
energy of formation from the pure elements	0.7501	eV per atom

Cell: 3.2232 3.2322 7.9530 Å, 90.00 90.16 90.00°
Fractional coordinates of all 4 atoms:
Ba1 0.0000 0.0000 0.0000
Co1 0.4996 0.5000 0.3286
W1 0.0006 0.0000 0.4720
W2 0.4989 0.5000 0.6524


[10]
# BaCo2W

An optimized crystal structure of BaCo2W (PBE-GGA, Alexandria via LeMat-Bulk).

SG	C2/m (12)
final energy	-54.7	eV/cell
distance to the lowest polymorph of the same formula	0.0	meV per atom
energy of formation from the pure elements	0.4373	eV per atom

Cell: 7.1998 4.1556 6.3217 Å, 90.00 112.18 90.00°
Fractional coordinates of all 8 atoms:
Ba1 0.0000 0.0000 0.0000
Ba2 0.5000 0.5000 0.0000
Co1 0.1906 0.0000 0.5719
Co2 0.3094 0.5000 0.4281
Co3 0.6906 0.5000 0.5719
Co4 0.8094 0.0000 0.4281
W1 0.0000 0.5000 0.5000
W2 0.5000 0.0000 0.5000


[11]
# BaCoW2

An optimized crystal structure of BaCoW2 (PBE-GGA, Alexandria via LeMat-Bulk).

SG	C2/m (12)
final energy	-63.6	eV/cell
distance to the lowest polymorph of the same formula	35.1	meV per atom
energy of formation from the pure elements	0.7807	eV per atom

Cell: 7.2919 4.1926 6.8010 Å, 90.00 110.85 90.00°
Fractional coordinates of all 8 atoms:
Ba1 0.0000 0.0000 0.0000
Ba2 0.5000 0.5000 0.0000
Co1 0.0000 0.5000 0.5000
Co2 0.5000 0.0000 0.5000
W1 0.1965 0.0000 0.5891
W2 0.3035 0.5000 0.4109
W3 0.6965 0.5000 0.5891
W4 0.8035 0.0000 0.4109


[12]
# Ba2CoW

An optimized crystal structure of Ba2CoW (PBE-GGA, Alexandria via LeMat-Bulk).

SG	Fm-3m (225)
final energy	-72.3	eV/cell
distance to the lowest polymorph of the same formula	974.3	meV per atom
energy of formation from the pure elements	1.4558	eV per atom

Cell: 7.8331 7.8331 7.8331 Å, 90.00 90.00 90.00°
Fractional coordinates of all 16 atoms:
Ba1 0.2500 0.2500 0.2500
Ba2 0.2500 0.2500 0.7500
Ba3 0.2500 0.7500 0.2500
Ba4 0.2500 0.7500 0.7500
Ba5 0.7500 0.2500 0.2500
Ba6 0.7500 0.2500 0.7500
Ba7 0.7500 0.7500 0.2500
Ba8 0.7500 0.7500 0.7500
Co1 0.0000 0.0000 0.0000
Co2 0.0000 0.5000 0.5000
Co3 0.5000 0.0000 0.5000
Co4 0.5000 0.5000 0.0000
W1 0.0000 0.0000 0.5000
W2 0.0000 0.5000 0.0000
W3 0.5000 0.0000 0.0000
W4 0.5000 0.5000 0.5000


[13]
# BaCoW2

An optimized crystal structure of BaCoW2 (PBE-GGA, Alexandria via LeMat-Bulk).

SG	R-3m (166)
final energy	-90.1	eV/cell
distance to the lowest polymorph of the same formula	479.4	meV per atom
energy of formation from the pure elements	1.2250	eV per atom

Cell: 2.9362 2.9362 30.8391 Å, 90.00 90.00 120.00°
Fractional coordinates of all 12 atoms:
Ba1 0.0000 0.0000 0.0000
Ba2 0.3333 0.6667 0.6667
Ba3 0.6667 0.3333 0.3333
Co1 0.0000 0.0000 0.5000
Co2 0.3333 0.6667 0.1667
Co3 0.6667 0.3333 0.8333
W1 0.0000 0.0000 0.2312
W2 0.0000 0.0000 0.7688
W3 0.3333 0.6667 0.4355
W4 0.3333 0.6667 0.8979
W5 0.6667 0.3333 0.1021
W6 0.6667 0.3333 0.5645


[14]
# Ba2CoW

An optimized crystal structure of Ba2CoW (PBE-GGA, Alexandria via LeMat-Bulk).

SG	I-4m2 (119)
final energy	-35.9	eV/cell
distance to the lowest polymorph of the same formula	1013.2	meV per atom
energy of formation from the pure elements	1.4947	eV per atom

Cell: 5.3123 5.3123 7.6523 Å, 90.00 90.00 90.00°
Fractional coordinates of all 8 atoms:
Ba1 0.0000 0.0000 0.0000
Ba2 0.0000 0.5000 0.2500
Ba3 0.5000 0.0000 0.7500
Ba4 0.5000 0.5000 0.5000
Co1 0.0000 0.5000 0.7500
Co2 0.5000 0.0000 0.2500
W1 0.0000 0.0000 0.5000
W2 0.5000 0.5000 0.0000


[15]
# BaCoW

An optimized crystal structure of BaCoW (PBE-GGA, Alexandria via LeMat-Bulk).

SG	P3m1 (156)
final energy	-19.6	eV/cell
distance to the lowest polymorph of the same formula	33.3	meV per atom
energy of formation from the pure elements	0.7892	eV per atom

Cell: 4.0055 4.0055 5.4162 Å, 90.00 90.00 120.00°
Fractional coordinates of all 3 atoms:
Ba1 0.0000 0.0000 0.0000
Co1 0.6667 0.3333 0.4723
W1 0.3333 0.6667 0.5131


[16]
# Ba2CoW

An optimized crystal structure of Ba2CoW (PBE-GGA, Alexandria via LeMat-Bulk).

SG	I-42d (122)
final energy	-79.3	eV/cell
distance to the lowest polymorph of the same formula	538.4	meV per atom
energy of formation from the pure elements	1.0200	eV per atom

Cell: 11.8385 11.8385 4.5215 Å, 90.00 90.00 90.00°
Fractional coordinates of all 16 atoms:
Ba1 0.0714 0.2500 0.1250
Ba2 0.2500 0.5714 0.3750
Ba3 0.2500 0.9286 0.8750
Ba4 0.4286 0.2500 0.6250
Ba5 0.5714 0.7500 0.6250
Ba6 0.7500 0.0714 0.8750
Ba7 0.7500 0.4286 0.3750
Ba8 0.9286 0.7500 0.1250
Co1 0.0000 0.0000 0.0000
Co2 0.0000 0.5000 0.2500
Co3 0.5000 0.0000 0.7500
Co4 0.5000 0.5000 0.5000
W1 0.0000 0.0000 0.5000
W2 0.0000 0.5000 0.7500
W3 0.5000 0.0000 0.2500
W4 0.5000 0.5000 0.0000


[17]
# BaCo2W

An optimized crystal structure of BaCo2W (PBE-GGA, Alexandria via LeMat-Bulk).

SG	P4/mmm (123)
final energy	-27.2	eV/cell
distance to the lowest polymorph of the same formula	32.1	meV per atom
energy of formation from the pure elements	0.4694	eV per atom

Cell: 3.1127 3.1127 7.6564 Å, 90.00 90.00 90.00°
Fractional coordinates of all 4 atoms:
Ba1 0.0000 0.0000 0.0000
Co1 0.5000 0.5000 0.3358
Co2 0.5000 0.5000 0.6642
W1 0.0000 0.0000 0.5000


[18]
# Ba2CoW

An optimized crystal structure of Ba2CoW (PBE-GGA, Alexandria via LeMat-Bulk).

SG	Imm2 (44)
final energy	-41.6	eV/cell
distance to the lowest polymorph of the same formula	295.2	meV per atom
energy of formation from the pure elements	0.7768	eV per atom

Cell: 3.7526 5.2589 12.5753 Å, 90.00 90.00 90.00°
Fractional coordinates of all 8 atoms:
Ba1 0.0000 0.0000 0.0000
Ba2 0.0000 0.5000 0.2224
Ba3 0.5000 0.0000 0.7224
Ba4 0.5000 0.5000 0.5000
Co1 0.0000 0.5000 0.8111
Co2 0.5000 0.0000 0.3111
W1 0.0000 0.0000 0.4115
W2 0.5000 0.5000 0.9115


[19]
# BaCo2W

An optimized crystal structure of BaCo2W (PBE-GGA, Alexandria via LeMat-Bulk).

SG	P4/mmm (123)
final energy	-24.5	eV/cell
distance to the lowest polymorph of the same formula	700.7	meV per atom
energy of formation from the pure elements	1.1380	eV per atom

Cell: 4.9250 4.9250 2.9268 Å, 90.00 90.00 90.00°
Fractional coordinates of all 4 atoms:
Ba1 0.0000 0.0000 0.0000
Co1 0.0000 0.5000 0.5000
Co2 0.5000 0.0000 0.5000
W1 0.5000 0.5000 0.0000


[20]
# Ba4CoW

An optimized crystal structure of Ba4CoW (PBE-GGA, Alexandria via LeMat-Bulk).

SG	F-43m (216)
final energy	-17.6	eV/cell
energy of formation from the pure elements	1.6956	eV per atom

Cell: 6.9444 6.9444 6.9444 Å, 60.00 60.00 60.00°
Fractional coordinates of all 6 atoms:
Ba1 0.1251 0.1251 0.1251
Ba2 0.1251 0.1251 0.6247
Ba3 0.1251 0.6247 0.1251
Ba4 0.6247 0.1251 0.1251
Co1 0.7500 0.7500 0.7500
W1 0.5000 0.5000 0.5000